Density functional theory data (PBE) for Th2MnFe3B12 after structural relaxation.

abc: 5.5220 5.5220 22.1448
angles: 90.00 90.00 120.00
Space group R-3m (No. 166, hexagonal axes)
Unique sites:
Th  0.0000  0.0000  0.1394
Mn  0.0000  0.0000  0.5000
Fe  0.0000  0.5000  0.0000
B  0.0790  0.5395  0.0943
B  0.1043  0.2085  0.7374

Computed properties:
ΔH_f (0 K) = 0.32 kcal/mol of atoms
V = 10.83 Å³/atom
Magnetization = 5.01 μB per formula unit
Fermi-level density of states = 21.6 states/eV per cell

=====

Density functional theory data (PBE) for La2Al5Cu4 after structural relaxation.

abc: 5.623 9.709 15.075
angles: 90.00 90.00 90.00
Space group Fmmm (No. 69)
Unique sites:
La  0.000  0.000  0.134
Al  0.000  0.000  0.500
Al  0.250  0.250  0.000
Al  0.250  0.250  0.250
Cu  0.000  0.143  0.365

Computed properties:
ΔH_f (0 K) = -8.42 kcal/mol of atoms
V = 18.71 Å³/atom
Magnetization = 0.00 μB per formula unit
Fermi-level density of states = 21.3 states/eV per cell

=====

Density functional theory data (PBE) for CoRhCl3 after structural relaxation.

abc: 4.652 4.652 4.652
angles: 90.00 90.00 90.00
Space group Pm-3m (No. 221)
Unique sites:
Co  0.000  0.000  0.000
Rh  0.500  0.500  0.500
Cl  0.000  0.000  0.500

Computed properties:
V = 20.14 Å³/atom
Magnetization = 2.13 μB per formula unit
Fermi-level density of states = 15.6 states/eV per cell
ΔE_f (raw) = 41 kJ/mol of atoms

=====

Density functional theory data (PBE) for TmZr3Fe8 after structural relaxation.

abc: 5.0016 5.0016 24.5499
angles: 90.00 90.00 120.00
Space group R3m (No. 160, hexagonal axes)
Unique sites:
Tm  0.0000  0.0000  0.0000
Zr  0.0000  0.0000  0.1254
Zr  0.0000  0.0000  0.5001
Zr  0.0000  0.0000  0.6247
Fe  0.0000  0.0000  0.3125
Fe  0.0000  0.0000  0.8126
Fe  0.0006  0.5003  0.0635
Fe  0.1670  0.3339  0.8950

Computed properties:
ΔH_f (0 K) = -5.85 kcal/mol of atoms
V = 14.77 Å³/atom
Magnetization = 12.72 μB per formula unit
Fermi-level density of states = 17.0 states/eV per cell

=====

Density functional theory data (PBE) for PmNd2Zn3 after structural relaxation.

abc: 3.678 3.678 11.049
angles: 90.00 90.00 90.00
Space group P4/mmm (No. 123)
Unique sites:
Pm  0.000  0.000  0.000
Nd  0.000  0.000  0.332
Zn  0.500  0.500  0.164
Zn  0.500  0.500  0.500

Computed properties:
ΔH_f (0 K) = -7.07 kcal/mol of atoms
V = 24.90 Å³/atom
Magnetization = 0.00 μB per formula unit
Fermi-level density of states = 7.9 states/eV per cell

=====

Density functional theory data (PBE) for ZrPbBr2 after structural relaxation.

abc: 3.426 5.002 5.997
angles: 90.00 90.00 90.00
Space group Pmmm (No. 47)
Unique sites:
Zr  0.000  0.000  0.000
Pb  0.500  0.000  0.500
Br  0.000  0.500  0.500
Br  0.500  0.500  0.000

Computed properties:
V = 25.69 Å³/atom
Magnetization = 0.00 μB per formula unit
Fermi-level density of states = 2.4 states/eV per cell
ΔE_f (raw) = -26 kJ/mol of atoms

=====

Density functional theory data (PBE) for LaPtRh2I after structural relaxation.

abc: 4.794 4.794 5.928
angles: 90.00 90.00 90.00
Space group P4/mmm (No. 123)
Unique sites:
La  0.000  0.000  0.000
Pt  0.500  0.500  0.000
Rh  0.000  0.500  0.500
I  0.000  0.000  0.500

Computed properties:
V = 27.25 Å³/atom
Magnetization = 0.00 μB per formula unit
Fermi-level density of states = 4.7 states/eV per cell
ΔE_f (raw) = 62 kJ/mol of atoms

=====

Density functional theory data (PBE) for LiAsW after structural relaxation.

abc: 2.795 2.795 12.938
angles: 90.00 90.00 90.00
Space group I4mm (No. 107)
Unique sites:
Li  0.000  0.000  0.000
As  0.000  0.000  0.316
W  0.000  0.000  0.668

Computed properties:
ΔH_f (0 K) = 8.66 kcal/mol of atoms
V = 16.85 Å³/atom
Magnetization = 0.00 μB per formula unit
Fermi-level density of states = 3.1 states/eV per cell

=====

Density functional theory data (PBE) for HoAl8Rh4 after structural relaxation.

abc: 8.668 8.668 5.472
angles: 90.00 90.00 90.00
Space group I4/mmm (No. 139)
Unique sites:
Ho  0.000  0.000  0.000
Al  0.000  0.224  0.500
Al  0.000  0.342  0.000
Rh  0.250  0.250  0.250

Computed properties:
ΔH_f (0 K) = -18.70 kcal/mol of atoms
V = 15.81 Å³/atom
Magnetization = 0.00 μB per formula unit
Fermi-level density of states = 13.6 states/eV per cell

=====

Density functional theory data (PBE) for Ce2Sb3Rh4Au after structural relaxation.

abc: 4.177 4.177 11.985
angles: 90.00 90.00 90.00
Space group P-4m2 (No. 115)
Unique sites:
Ce  0.000  0.500  0.231
Sb  0.000  0.000  0.000
Sb  0.000  0.500  0.629
Rh  0.000  0.000  0.500
Rh  0.000  0.500  0.841
Rh  0.500  0.500  0.500
Au  0.500  0.500  0.000

Computed properties:
V = 20.91 Å³/atom
Magnetization = 0.94 μB per formula unit
Fermi-level density of states = 8.9 states/eV per cell
ΔE_f (raw) = -69 kJ/mol of atoms

=====

Density functional theory data (PBE) for BaH2Pd after structural relaxation.

abc: 5.708 5.708 7.492
angles: 90.00 90.00 90.00
Space group I-42d (No. 122)
Unique sites:
Ba  0.000  0.000  0.000
H  0.106  0.250  0.625
Pd  0.000  0.000  0.500

Computed properties:
Calculated total energy = -3.8722 eV/atom
V = 15.26 Å³/atom
Magnetization = 0.00 μB per formula unit
Fermi-level density of states = 0.0 states/eV per cell

=====

Density functional theory data (PBE) for HfAlV after structural relaxation.

abc: 9.306 9.474 2.831
angles: 90.00 90.00 90.00
Space group Cmmm (No. 65)
Unique sites:
Hf  0.236  0.000  0.000
Al  0.000  0.267  0.500
V  0.000  0.000  0.500
V  0.000  0.500  0.000

Computed properties:
ΔH_f (0 K) = 13.41 kcal/mol of atoms
V = 20.80 Å³/atom
Magnetization = 0.00 μB per formula unit
Fermi-level density of states = 7.6 states/eV per cell

=====

Density functional theory data (PBE) for BaTaTl2 after structural relaxation.

abc: 5.824 5.824 3.215
angles: 90.00 90.00 90.00
Space group P4/mmm (No. 123)
Unique sites:
Ba  0.000  0.000  0.000
Ta  0.500  0.500  0.000
Tl  0.000  0.500  0.500

Computed properties:
ΔH_f (0 K) = 15.07 kcal/mol of atoms
V = 27.26 Å³/atom
Magnetization = 0.00 μB per formula unit
Fermi-level density of states = 3.8 states/eV per cell

=====

Density functional theory data (PBE) for VRh2Br2 after structural relaxation.

abc: 6.545 6.545 4.759
angles: 90.00 90.00 90.00
Space group P4/mbm (No. 127)
Unique sites:
V  0.000  0.000  0.000
Rh  0.142  0.358  0.000
Br  0.219  0.281  0.500

Computed properties:
V = 20.39 Å³/atom
Magnetization = 1.25 μB per formula unit
Fermi-level density of states = 12.3 states/eV per cell
ΔE_f (raw) = 35 kJ/mol of atoms

=====

Density functional theory data (PBE) for CrNi2 after structural relaxation.

abc: 6.8864 6.8864 2.4269
angles: 90.00 90.00 120.00
Space group P-62m (No. 189)
Unique sites:
Cr  0.0000  0.0000  0.0000
Cr  0.3333  0.6667  0.5000
Ni  0.0000  0.3115  0.5000
Ni  0.0000  0.6479  0.0000

Computed properties:
ΔH_f (0 K) = 1.45 kcal/mol of atoms
V = 11.07 Å³/atom
Magnetization = 0.27 μB per formula unit
Fermi-level density of states = 12.1 states/eV per cell

=====

Density functional theory data (PBE) for MnTl3In3Cl8 after structural relaxation.

abc: 8.9920 8.9920 22.1184
angles: 90.00 90.00 120.00
Space group R-3m (No. 166, hexagonal axes)
Unique sites:
Mn  0.0000  0.0000  0.0000
Tl  0.0000  0.5000  0.5000
In  0.0000  0.5000  0.0000
Cl  0.0000  0.0000  0.2511
Cl  0.0618  0.5309  0.7337

Computed properties:
V = 34.42 Å³/atom
Magnetization = 4.97 μB per formula unit
Fermi-level density of states = 0.0 states/eV per cell
ΔE_f (raw) = -91 kJ/mol of atoms

=====

Density functional theory data (PBE) for TmSn2Rh after structural relaxation.

abc: 16.361 7.353 5.809
angles: 90.00 90.00 90.00
Space group Pnma (No. 62)
Unique sites:
Tm  0.111  0.250  0.240
Tm  0.144  0.750  0.472
Sn  0.031  0.040  0.742
Sn  0.218  0.542  0.977
Rh  0.080  0.750  0.005
Rh  0.165  0.250  0.718

Computed properties:
ΔH_f (0 K) = -15.09 kcal/mol of atoms
V = 21.84 Å³/atom
Magnetization = 0.00 μB per formula unit
Fermi-level density of states = 15.8 states/eV per cell

=====

Density functional theory data (PBE) for Li2PrNpS4 after structural relaxation.

abc: 6.617 4.019 6.964
angles: 90.00 110.66 90.00
Space group P2/m (No. 10)
Unique sites:
Li  0.000  0.000  0.000
Li  0.000  0.500  0.500
Pr  0.500  0.000  0.500
Np  0.500  0.500  0.000
S  0.241  0.500  0.239
S  0.248  0.000  0.758

Computed properties:
V = 21.66 Å³/atom
Magnetization = 4.00 μB per formula unit
Fermi-level density of states = 9.2 states/eV per cell
ΔE_f (raw) = -149 kJ/mol of atoms

=====

Density functional theory data (PBE) for Na2CaBe2O4 after structural relaxation.

abc: 10.837 3.165 8.095
angles: 90.00 130.89 90.00
Space group C2/m (No. 12)
Unique sites:
Na  0.150  0.000  0.256
Ca  0.000  0.000  0.500
Be  0.154  0.500  0.875
O  0.034  0.500  0.326
O  0.245  0.000  0.866

Computed properties:
V = 11.66 Å³/atom
Magnetization = 0.00 μB per formula unit
Fermi-level density of states = 0.0 states/eV per cell
ΔE_f (raw) = -217 kJ/mol of atoms

=====

Density functional theory data (PBE) for Pr4Er5In after structural relaxation.

abc: 10.779 10.779 5.812
angles: 90.00 90.00 90.00
Space group I4mm (No. 107)
Unique sites:
Pr  0.000  0.310  0.000
Er  0.000  0.000  0.209
Er  0.184  0.184  0.499
In  0.000  0.000  0.724

Computed properties:
ΔH_f (0 K) = 1.44 kcal/mol of atoms
V = 33.76 Å³/atom
Magnetization = 0.00 μB per formula unit
Fermi-level density of states = 28.8 states/eV per cell